Run one
AlHgTeO | GGA-PBE | relaxed

The space group is P4/nmm (No. 129, origin choice 2) and the conventional cell measures 3.721, 3.721 and 10.992 Å, with angles of 90.00, 90.00 and 90.00 degrees. The asymmetric unit holds Al at (0.250, 0.250, 0.064), Hg at (0.250, 0.750, 0.500), Te at (0.250, 0.250, 0.760) and O at (0.250, 0.750, 0.000).

The crystal system is tetragonal.

---

Run two
AlHgTeO | GGA-PBE | relaxed

The space group is Pmc2_1 (No. 26) and the conventional cell measures 4.097, 8.804 and 5.840 Å, with angles of 90.00, 90.00 and 90.00 degrees. The asymmetric unit holds Al at (0.000, 0.095, 0.000), Hg at (0.500, 0.290, 0.538), Te at (0.500, 0.295, 0.038) and O at (0.000, 0.031, 0.723).

The crystal system is orthorhombic.

---

Energetically preferred structure: run two | next structure: +39.9 kJ/mol of atoms

---

Run one
RbAlHg | GGA-PBE | relaxed

The space group is F-43m (No. 216) and the conventional cell measures 7.671, 7.671 and 7.671 Å, with angles of 90.00, 90.00 and 90.00 degrees. The asymmetric unit holds Rb at (0.000, 0.000, 0.000), Al at (0.250, 0.250, 0.750) and Hg at (0.000, 0.000, 0.500).

The crystal system is cubic.

---

Run two
RbAlHg | GGA-PBE | relaxed

The space group is F-43m (No. 216) and the conventional cell measures 7.711, 7.711 and 7.711 Å, with angles of 90.00, 90.00 and 90.00 degrees. The asymmetric unit holds Rb at (0.000, 0.000, 0.000), Al at (0.000, 0.000, 0.500) and Hg at (0.250, 0.250, 0.750).

The crystal system is cubic.

---

Energetically preferred structure: run two | next structure: +4.4 kJ/mol of atoms

---

Run one
SrAlHg | GGA-PBE | relaxed

The space group is F-43m (No. 216) and the conventional cell measures 7.164, 7.164 and 7.164 Å, with angles of 90.00, 90.00 and 90.00 degrees. The asymmetric unit holds Sr at (0.000, 0.000, 0.000), Al at (0.000, 0.000, 0.500) and Hg at (0.250, 0.250, 0.750).

The crystal system is cubic.

---

Run two
SrAlHg | GGA-PBE | relaxed

The space group is F-43m (No. 216) and the conventional cell measures 7.453, 7.453 and 7.453 Å, with angles of 90.00, 90.00 and 90.00 degrees. The asymmetric unit holds Sr at (0.000, 0.000, 0.000), Al at (0.250, 0.250, 0.750) and Hg at (0.250, 0.250, 0.250).

The crystal system is cubic.

---

Energetically preferred structure: run one | next structure: +38.3 kJ/mol of atoms

---

Run one
Tb2Al3Hg3 | GGA-PBE | relaxed

The space group is P-6m2 (No. 187) and the conventional cell measures 6.5717, 6.5717 and 4.6936 Å, with angles of 90.00, 90.00 and 120.00 degrees. The asymmetric unit holds Tb at (0.0000, 0.0000, 0.0000), Tb at (0.3333, 0.6667, 0.5000), Al at (0.3769, 0.1884, 0.5000) and Hg at (0.5061, 0.0122, 0.0000).

The crystal system is hexagonal.

---

Run two
Tb2Al3Hg3 | GGA-PBE | relaxed

The space group is Pm (No. 6) and the conventional cell measures 6.442, 4.799 and 6.470 Å, with angles of 90.00, 119.25 and 90.00 degrees. The asymmetric unit holds Tb at (0.000, 0.000, 0.000), Tb at (0.330, 0.500, 0.673), Al at (0.370, 0.500, 0.193), Al at (0.824, 0.500, 0.642), Al at (0.971, 0.000, 0.499), Hg at (0.492, 0.000, 0.011), Hg at (0.505, 0.000, 0.503) and Hg at (0.846, 0.500, 0.189).

The crystal system is monoclinic.

---

Run three
Tb2Al3Hg3 | GGA-PBE | relaxed

The space group is Amm2 (No. 38) and the conventional cell measures 4.828, 6.472 and 11.161 Å, with angles of 90.00, 90.00 and 90.00 degrees. The asymmetric unit holds Tb at (0.000, 0.000, 0.000), Tb at (0.500, 0.000, 0.339), Al at (0.000, 0.222, 0.752), Al at (0.500, 0.000, 0.825), Hg at (0.000, 0.000, 0.508) and Hg at (0.500, 0.249, 0.099).

The crystal system is orthorhombic.

---

Energetically preferred structure: run one | next structure: +0.6 kJ/mol of atoms

---

Run one
KHoAlTe3 | GGA-PBE | relaxed

The space group is Cmcm (No. 63) and the conventional cell measures 4.792, 15.249 and 11.603 Å, with angles of 90.00, 90.00 and 90.00 degrees. The asymmetric unit holds K at (0.000, 0.249, 0.250), Ho at (0.000, 0.000, 0.000), Al at (0.000, 0.481, 0.750), Te at (0.000, 0.068, 0.750) and Te at (0.000, 0.373, 0.564).

The crystal system is orthorhombic.

---

Run two
KHoAlTe3 | GGA-PBE | relaxed

The space group is Pnma (No. 62) and the conventional cell measures 12.023, 4.958 and 13.180 Å, with angles of 90.00, 90.00 and 90.00 degrees. The asymmetric unit holds K at (0.183, 0.250, 0.010), Ho at (0.024, 0.250, 0.321), Al at (0.238, 0.250, 0.724), Te at (0.049, 0.750, 0.166), Te at (0.091, 0.250, 0.565) and Te at (0.212, 0.750, 0.806).

The crystal system is orthorhombic.

---

Energetically preferred structure: run one | next structure: +2.5 kJ/mol of atoms

---

Run one
HoLuAl | GGA-PBE | relaxed

The space group is Pnma (No. 62) and the conventional cell measures 6.457, 5.029 and 9.325 Å, with angles of 90.00, 90.00 and 90.00 degrees. The asymmetric unit holds Ho at (0.189, 0.250, 0.072), Lu at (0.028, 0.250, 0.712) and Al at (0.205, 0.250, 0.397).

The crystal system is orthorhombic.

---

Run two
HoLuAl | GGA-PBE | relaxed

The space group is F-43m (No. 216) and the conventional cell measures 7.118, 7.118 and 7.118 Å, with angles of 90.00, 90.00 and 90.00 degrees. The asymmetric unit holds Ho at (0.000, 0.000, 0.000), Lu at (0.250, 0.250, 0.250) and Al at (0.250, 0.250, 0.750).

The crystal system is cubic.

---

Energetically preferred structure: run one | next structure: +77.5 kJ/mol of atoms

---

Run one
HoLu2Al | GGA-PBE | relaxed

The space group is Cmcm (No. 63) and the conventional cell measures 6.677, 11.642 and 5.261 Å, with angles of 90.00, 90.00 and 90.00 degrees. The asymmetric unit holds Ho at (0.000, 0.175, 0.250), Lu at (0.241, 0.415, 0.250) and Al at (0.000, 0.337, 0.750).

The crystal system is orthorhombic.

---

Run two
HoLu2Al | GGA-PBE | relaxed

The space group is Ama2 (No. 40) and the conventional cell measures 4.946, 10.359 and 8.245 Å, with angles of 90.00, 90.00 and 90.00 degrees. The asymmetric unit holds Ho at (0.250, 0.111, 0.000), Lu at (0.250, 0.110, 0.412), Lu at (0.250, 0.381, 0.204) and Al at (0.250, 0.325, 0.708).

The crystal system is orthorhombic.

---

Energetically preferred structure: run one | next structure: +2.3 kJ/mol of atoms

---

Run one
HoNbAl | GGA-PBE | relaxed

The space group is F-43m (No. 216) and the conventional cell measures 6.723, 6.723 and 6.723 Å, with angles of 90.00, 90.00 and 90.00 degrees. The asymmetric unit holds Ho at (0.000, 0.000, 0.000), Nb at (0.250, 0.250, 0.750) and Al at (0.000, 0.000, 0.500).

The crystal system is cubic.

---

Run two
HoNbAl | GGA-PBE | relaxed

The space group is F-43m (No. 216) and the conventional cell measures 6.848, 6.848 and 6.848 Å, with angles of 90.00, 90.00 and 90.00 degrees. The asymmetric unit holds Ho at (0.000, 0.000, 0.000), Nb at (0.250, 0.250, 0.750) and Al at (0.250, 0.250, 0.250).

The crystal system is cubic.

---

Energetically preferred structure: run one | next structure: +34.2 kJ/mol of atoms

---

Run one
Ho3Al3SiNi2 | GGA-PBE | relaxed

The space group is P-62m (No. 189) and the conventional cell measures 7.8839, 7.8839 and 3.1390 Å, with angles of 90.00, 90.00 and 120.00 degrees. The asymmetric unit holds Ho at (0.0000, 0.3037, 0.0000), Al at (0.0000, 0.6319, 0.5000), Si at (0.0000, 0.0000, 0.5000) and Ni at (0.3333, 0.6667, 0.0000).

The crystal system is hexagonal.

---

Run two
Ho3Al3SiNi2 | GGA-PBE | relaxed

The space group is P-62m (No. 189) and the conventional cell measures 7.1604, 7.1604 and 3.7590 Å, with angles of 90.00, 90.00 and 120.00 degrees. The asymmetric unit holds Ho at (0.0000, 0.4066, 0.0000), Al at (0.0000, 0.7416, 0.5000), Si at (0.0000, 0.0000, 0.0000) and Ni at (0.3333, 0.6667, 0.5000).

The crystal system is hexagonal.

---

Energetically preferred structure: run two | next structure: +35.5 kJ/mol of atoms

---

Run one
Ho3Al3SiPd2 | GGA-PBE | relaxed

The space group is P-62m (No. 189) and the conventional cell measures 7.3605, 7.3605 and 3.7884 Å, with angles of 90.00, 90.00 and 120.00 degrees. The asymmetric unit holds Ho at (0.0000, 0.5995, 0.0000), Al at (0.0000, 0.2536, 0.5000), Si at (0.0000, 0.0000, 0.0000) and Pd at (0.3333, 0.6667, 0.5000).

The crystal system is hexagonal.

---

Run two
Ho3Al3SiPd2 | GGA-PBE | relaxed

The space group is P-62m (No. 189) and the conventional cell measures 7.5162, 7.5162 and 3.8671 Å, with angles of 90.00, 90.00 and 120.00 degrees. The asymmetric unit holds Ho at (0.0000, 0.2740, 0.0000), Al at (0.0000, 0.6005, 0.5000), Si at (0.0000, 0.0000, 0.5000) and Pd at (0.3333, 0.6667, 0.0000).

The crystal system is hexagonal.

---

Energetically preferred structure: run one | next structure: +34.4 kJ/mol of atoms

---

Run one
HoScAl | GGA-PBE | relaxed

The space group is F-43m (No. 216) and the conventional cell measures 6.898, 6.898 and 6.898 Å, with angles of 90.00, 90.00 and 90.00 degrees. The asymmetric unit holds Ho at (0.000, 0.000, 0.000), Sc at (0.250, 0.250, 0.750) and Al at (0.000, 0.000, 0.500).

The crystal system is cubic.

---

Run two
HoScAl | GGA-PBE | relaxed

The space group is F-43m (No. 216) and the conventional cell measures 6.951, 6.951 and 6.951 Å, with angles of 90.00, 90.00 and 90.00 degrees. The asymmetric unit holds Ho at (0.000, 0.000, 0.000), Sc at (0.250, 0.250, 0.250) and Al at (0.250, 0.250, 0.750).

The crystal system is cubic.

---

Energetically preferred structure: run one | next structure: +11.9 kJ/mol of atoms

---

Run one
TbHoAl4 | GGA-PBE | relaxed

The space group is Cmcm (No. 63) and the conventional cell measures 4.094, 19.502 and 6.523 Å, with angles of 90.00, 90.00 and 90.00 degrees. The asymmetric unit holds Tb at (0.000, 0.087, 0.250), Ho at (0.000, 0.236, 0.750), Al at (0.000, 0.072, 0.750), Al at (0.000, 0.357, 0.046) and Al at (0.000, 0.500, 0.000).

The crystal system is orthorhombic.

---

Run two
TbHoAl4 | GGA-PBE | relaxed

The space group is Amm2 (No. 38) and the conventional cell measures 4.318, 4.344 and 13.423 Å, with angles of 90.00, 90.00 and 90.00 degrees. The asymmetric unit holds Tb at (0.000, 0.000, 0.000), Ho at (0.000, 0.000, 0.310), Al at (0.000, 0.000, 0.656), Al at (0.500, 0.000, 0.156), Al at (0.500, 0.000, 0.489) and Al at (0.500, 0.000, 0.817).

The crystal system is orthorhombic.

---

Energetically preferred structure: run one | next structure: +3.7 kJ/mol of atoms